[1]
# BeNbCuPd, optimized geometry, DFT PBE
# Energy, eV/atom: -5.72
# M_tot, μB/f.u.: 0.00
# Energy above the lowest structure with this stoichiometry, meV per atom: 51
# Mass density, g/cm³: 8.21
data_BeNbCuPd
_chemical_formula_sum 'Be4 Nb4 Cu4 Pd4'
_space_group_name_H-M_alt 'P 1'
_space_group_IT_number 1
_cell_length_a 6.036
_cell_length_b 6.036
_cell_length_c 6.036
_cell_angle_alpha 90.00
_cell_angle_beta 90.00
_cell_angle_gamma 90.00
loop_
_space_group_symop_operation_xyz
'x,y,z'
loop_
_atom_site_label
_atom_site_type_symbol
_atom_site_fract_x
_atom_site_fract_y
_atom_site_fract_z
Be1 Be 0.000 0.000 0.000
Be2 Be 0.000 0.500 0.500
Be3 Be 0.500 0.000 0.500
Be4 Be 0.500 0.500 0.000
Nb1 Nb 0.250 0.250 0.250
Nb2 Nb 0.250 0.750 0.750
Nb3 Nb 0.750 0.250 0.750
Nb4 Nb 0.750 0.750 0.250
Cu1 Cu 0.250 0.250 0.750
Cu2 Cu 0.250 0.750 0.250
Cu3 Cu 0.750 0.250 0.250
Cu4 Cu 0.750 0.750 0.750
Pd1 Pd 0.000 0.000 0.500
Pd2 Pd 0.000 0.500 0.000
Pd3 Pd 0.500 0.000 0.000
Pd4 Pd 0.500 0.500 0.500


[2]
# YMgCuPb, optimized geometry, DFT PBE
# Energy, eV/atom: -3.90
# M_tot, μB/f.u.: 0.00
# Energy above the lowest structure with this stoichiometry, meV per atom: 0
# Mass density, g/cm³: 7.07
data_YMgCuPb
_chemical_formula_sum 'Y4 Mg4 Cu4 Pb4'
_space_group_name_H-M_alt 'P 1'
_space_group_IT_number 1
_cell_length_a 7.120
_cell_length_b 7.120
_cell_length_c 7.120
_cell_angle_alpha 90.00
_cell_angle_beta 90.00
_cell_angle_gamma 90.00
loop_
_space_group_symop_operation_xyz
'x,y,z'
loop_
_atom_site_label
_atom_site_type_symbol
_atom_site_fract_x
_atom_site_fract_y
_atom_site_fract_z
Y1 Y 0.000 0.000 0.000
Y2 Y 0.000 0.500 0.500
Y3 Y 0.500 0.000 0.500
Y4 Y 0.500 0.500 0.000
Mg1 Mg 0.250 0.250 0.250
Mg2 Mg 0.250 0.750 0.750
Mg3 Mg 0.750 0.250 0.750
Mg4 Mg 0.750 0.750 0.250
Cu1 Cu 0.250 0.250 0.750
Cu2 Cu 0.250 0.750 0.250
Cu3 Cu 0.750 0.250 0.250
Cu4 Cu 0.750 0.750 0.750
Pb1 Pb 0.000 0.000 0.500
Pb2 Pb 0.000 0.500 0.000
Pb3 Pb 0.500 0.000 0.000
Pb4 Pb 0.500 0.500 0.500


[3]
# GdIn, optimized geometry, DFT PBE
# Energy, eV/atom: -3.80
# M_tot, μB/f.u.: 0.35
# Mass density, g/cm³: 7.34
data_GdIn
_chemical_formula_sum 'Gd4 In4'
_space_group_name_H-M_alt 'P 1'
_space_group_IT_number 1
_cell_length_a 6.267
_cell_length_b 6.267
_cell_length_c 6.267
_cell_angle_alpha 90.00
_cell_angle_beta 90.00
_cell_angle_gamma 90.00
loop_
_space_group_symop_operation_xyz
'x,y,z'
loop_
_atom_site_label
_atom_site_type_symbol
_atom_site_fract_x
_atom_site_fract_y
_atom_site_fract_z
Gd1 Gd 0.000 0.000 0.000
Gd2 Gd 0.000 0.500 0.500
Gd3 Gd 0.500 0.000 0.500
Gd4 Gd 0.500 0.500 0.000
In1 In 0.000 0.000 0.500
In2 In 0.000 0.500 0.000
In3 In 0.500 0.000 0.000
In4 In 0.500 0.500 0.500


[4]
# Er2Ga4FeCu, optimized geometry, DFT PBE
# Energy, eV/atom: -4.62
# M_tot, μB/f.u.: 1.36
# Mass density, g/cm³: 8.74
data_Er2Ga4FeCu
_chemical_formula_sum 'Er4 Ga8 Fe2 Cu2'
_space_group_name_H-M_alt 'P 1'
_space_group_IT_number 1
_cell_length_a 6.690
_cell_length_b 4.125
_cell_length_c 10.096
_cell_angle_alpha 90.00
_cell_angle_beta 90.00
_cell_angle_gamma 90.00
loop_
_space_group_symop_operation_xyz
'x,y,z'
loop_
_atom_site_label
_atom_site_type_symbol
_atom_site_fract_x
_atom_site_fract_y
_atom_site_fract_z
Er1 Er 0.000 0.000 0.000
Er2 Er 0.000 0.500 0.500
Er3 Er 0.500 0.000 0.146
Er4 Er 0.500 0.500 0.646
Ga1 Ga 0.198 0.000 0.715
Ga2 Ga 0.198 0.500 0.215
Ga3 Ga 0.304 0.000 0.436
Ga4 Ga 0.304 0.500 0.936
Ga5 Ga 0.696 0.000 0.436
Ga6 Ga 0.696 0.500 0.936
Ga7 Ga 0.802 0.000 0.715
Ga8 Ga 0.802 0.500 0.215
Fe1 Fe 0.500 0.000 0.863
Fe2 Fe 0.500 0.500 0.363
Cu1 Cu 0.000 0.000 0.285
Cu2 Cu 0.000 0.500 0.785


[5]
# ErTm2In3CuNi2, optimized geometry, DFT PBE
# Energy, eV/atom: -4.54
# M_tot, μB/f.u.: 0.00
# Mass density, g/cm³: 9.57
data_ErTm2In3CuNi2
_chemical_formula_sum 'Er1 Tm2 In3 Cu1 Ni2'
_space_group_name_H-M_alt 'P 1'
_space_group_IT_number 1
_cell_length_a 3.791
_cell_length_b 7.380
_cell_length_c 7.380
_cell_angle_alpha 120.00
_cell_angle_beta 90.00
_cell_angle_gamma 90.00
loop_
_space_group_symop_operation_xyz
'x,y,z'
loop_
_atom_site_label
_atom_site_type_symbol
_atom_site_fract_x
_atom_site_fract_y
_atom_site_fract_z
Er1 Er 0.000 0.000 0.000
Tm1 Tm 0.000 0.413 0.825
Tm2 Tm 0.000 0.825 0.413
In1 In 0.500 0.154 0.413
In2 In 0.500 0.413 0.154
In3 In 0.500 0.671 0.671
Cu1 Cu 0.000 0.413 0.413
Ni1 Ni 0.500 0.079 0.746
Ni2 Ni 0.500 0.746 0.079


[6]
# Fe3Ir, optimized geometry, DFT PBE
# Energy, eV/atom: -8.40
# M_tot, μB/f.u.: 6.32
# Mass density, g/cm³: 12.38
data_Fe3Ir
_chemical_formula_sum 'Fe3 Ir1'
_space_group_name_H-M_alt 'P 1'
_space_group_IT_number 1
_cell_length_a 3.641
_cell_length_b 3.641
_cell_length_c 3.641
_cell_angle_alpha 90.00
_cell_angle_beta 90.00
_cell_angle_gamma 90.00
loop_
_space_group_symop_operation_xyz
'x,y,z'
loop_
_atom_site_label
_atom_site_type_symbol
_atom_site_fract_x
_atom_site_fract_y
_atom_site_fract_z
Fe1 Fe 0.000 0.000 0.500
Fe2 Fe 0.000 0.500 0.000
Fe3 Fe 0.500 0.000 0.000
Ir1 Ir 0.500 0.500 0.500


[7]
# RbIr, optimized geometry, DFT PBE
# Energy, eV/atom: -3.74
# M_tot, μB/f.u.: 0.11
# Energy above the lowest structure with this stoichiometry, meV per atom: 0
# Mass density, g/cm³: 10.63
data_RbIr
_chemical_formula_sum 'Rb1 Ir1'
_space_group_name_H-M_alt 'P 1'
_space_group_IT_number 1
_cell_length_a 2.950
_cell_length_b 2.950
_cell_length_c 5.755
_cell_angle_alpha 90.00
_cell_angle_beta 90.00
_cell_angle_gamma 120.00
loop_
_space_group_symop_operation_xyz
'x,y,z'
loop_
_atom_site_label
_atom_site_type_symbol
_atom_site_fract_x
_atom_site_fract_y
_atom_site_fract_z
Rb1 Rb 0.000 0.000 0.000
Ir1 Ir 0.333 0.667 0.500


[8]
# ZnSi2Tc, optimized geometry, DFT PBE
# Energy, eV/atom: -5.22
# M_tot, μB/f.u.: 0.60
# Mass density, g/cm³: 6.52
data_ZnSi2Tc
_chemical_formula_sum 'Zn4 Si8 Tc4'
_space_group_name_H-M_alt 'P 1'
_space_group_IT_number 1
_cell_length_a 6.070
_cell_length_b 6.070
_cell_length_c 6.070
_cell_angle_alpha 90.00
_cell_angle_beta 90.00
_cell_angle_gamma 90.00
loop_
_space_group_symop_operation_xyz
'x,y,z'
loop_
_atom_site_label
_atom_site_type_symbol
_atom_site_fract_x
_atom_site_fract_y
_atom_site_fract_z
Zn1 Zn 0.000 0.000 0.000
Zn2 Zn 0.000 0.500 0.500
Zn3 Zn 0.500 0.000 0.500
Zn4 Zn 0.500 0.500 0.000
Si1 Si 0.000 0.000 0.500
Si2 Si 0.000 0.500 0.000
Si3 Si 0.250 0.250 0.250
Si4 Si 0.250 0.750 0.750
Si5 Si 0.500 0.000 0.000
Si6 Si 0.500 0.500 0.500
Si7 Si 0.750 0.250 0.750
Si8 Si 0.750 0.750 0.250
Tc1 Tc 0.250 0.250 0.750
Tc2 Tc 0.250 0.750 0.250
Tc3 Tc 0.750 0.250 0.250
Tc4 Tc 0.750 0.750 0.750


[9]
# RbDyS3, optimized geometry, DFT PBE
# Energy, eV/atom: -4.85
# M_tot, μB/f.u.: 0.00
# Mass density, g/cm³: 3.39
data_RbDyS3
_chemical_formula_sum 'Rb2 Dy2 S6'
_space_group_name_H-M_alt 'P 1'
_space_group_IT_number 1
_cell_length_a 7.252
_cell_length_b 7.285
_cell_length_c 7.331
_cell_angle_alpha 74.76
_cell_angle_beta 68.07
_cell_angle_gamma 72.43
loop_
_space_group_symop_operation_xyz
'x,y,z'
loop_
_atom_site_label
_atom_site_type_symbol
_atom_site_fract_x
_atom_site_fract_y
_atom_site_fract_z
Rb1 Rb 0.146 0.097 0.186
Rb2 Rb 0.854 0.903 0.814
Dy1 Dy 0.475 0.268 0.454
Dy2 Dy 0.525 0.732 0.546
S1 S 0.248 0.642 0.449
S2 S 0.296 0.020 0.736
S3 S 0.371 0.516 0.128
S4 S 0.629 0.484 0.872
S5 S 0.704 0.980 0.264
S6 S 0.752 0.358 0.551


[10]
# Ho4TlC2S, optimized geometry, DFT PBE
# Energy, eV/atom: -6.23
# M_tot, μB/f.u.: 0.29
# Mass density, g/cm³: 9.15
data_Ho4TlC2S
_chemical_formula_sum 'Ho4 Tl1 C2 S1'
_space_group_name_H-M_alt 'P 1'
_space_group_IT_number 1
_cell_length_a 3.642
_cell_length_b 3.642
_cell_length_c 14.544
_cell_angle_alpha 90.00
_cell_angle_beta 90.00
_cell_angle_gamma 120.00
loop_
_space_group_symop_operation_xyz
'x,y,z'
loop_
_atom_site_label
_atom_site_type_symbol
_atom_site_fract_x
_atom_site_fract_y
_atom_site_fract_z
Ho1 Ho 0.000 0.000 0.129
Ho2 Ho 0.000 0.000 0.871
Ho3 Ho 0.667 0.333 0.312
Ho4 Ho 0.667 0.333 0.688
Tl1 Tl 0.000 0.000 0.500
C1 C 0.333 0.667 0.223
C2 C 0.333 0.667 0.777
S1 S 0.667 0.333 0.000